La4Pm3Dy2 | PBE | optimized geometry

The structure in CIF format:
```
data_La4Pm3Dy2
_chemical_formula_sum 'La8 Pm6 Dy4'
_symmetry_space_group_name_H-M 'C 1 2/m 1'
_symmetry_Int_Tables_number 12
_cell_length_a 13.061
_cell_length_b 3.723
_cell_length_c 14.709
_cell_angle_alpha 90.00
_cell_angle_beta 115.59
_cell_angle_gamma 90.00
loop_
_symmetry_equiv_pos_as_xyz
'x,y,z'
'-x,-y,-z'
'-x,y,-z'
'x,-y,z'
'x+1/2,y+1/2,z'
'-x+1/2,-y+1/2,-z'
'-x+1/2,y+1/2,-z'
'x+1/2,-y+1/2,z'
loop_
_atom_site_label
_atom_site_type_symbol
_atom_site_fract_x
_atom_site_fract_y
_atom_site_fract_z
La1 La 0.217 0.000 0.105
La2 La 0.221 0.500 0.372
Pm1 Pm 0.000 0.500 0.500
Pm2 Pm 0.003 0.500 0.885
Dy1 Dy 0.052 0.000 0.710
```

=====

LaPm3Dy4 | PBE | optimized geometry

The structure in CIF format:
```
data_LaPm3Dy4
_chemical_formula_sum 'La2 Pm6 Dy8'
_symmetry_space_group_name_H-M 'P m n 21'
_symmetry_Int_Tables_number 31
_cell_length_a 11.595
_cell_length_b 7.338
_cell_length_c 6.325
_cell_angle_alpha 90.00
_cell_angle_beta 90.00
_cell_angle_gamma 90.00
loop_
_symmetry_equiv_pos_as_xyz
'x,y,z'
'-x+1/2,-y,z+1/2'
'-x,y,z'
'x+1/2,-y,z+1/2'
loop_
_atom_site_label
_atom_site_type_symbol
_atom_site_fract_x
_atom_site_fract_y
_atom_site_fract_z
La1 La 0.000 0.125 0.000
Pm1 Pm 0.000 0.871 0.503
Pm2 Pm 0.249 0.129 0.336
Dy1 Dy 0.000 0.380 0.502
Dy2 Dy 0.000 0.622 0.003
Dy3 Dy 0.249 0.622 0.336
```

=====

La4PmDy7 | PBE | optimized geometry

The structure in CIF format:
```
data_La4PmDy7
_chemical_formula_sum 'La4 Pm1 Dy7'
_symmetry_space_group_name_H-M 'P -3 m 1'
_symmetry_Int_Tables_number 164
_symmetry_space_group_name_Hall '-P 3 2"'
_cell_length_a 3.6253
_cell_length_b 3.6253
_cell_length_c 35.2729
_cell_angle_alpha 90.00
_cell_angle_beta 90.00
_cell_angle_gamma 120.00
loop_
_atom_site_label
_atom_site_type_symbol
_atom_site_fract_x
_atom_site_fract_y
_atom_site_fract_z
La1 La 0.3333 0.6667 0.1666
La2 La 0.3333 0.6667 0.4162
Pm1 Pm 0.0000 0.0000 0.0000
Dy1 Dy 0.0000 0.0000 0.2512
Dy2 Dy 0.0000 0.0000 0.5000
Dy3 Dy 0.3333 0.6667 0.6683
Dy4 Dy 0.3333 0.6667 0.9177
```

=====

La2Pm4Dy5 | PBE | optimized geometry

The structure in CIF format:
```
data_La2Pm4Dy5
_chemical_formula_sum 'La4 Pm8 Dy10'
_symmetry_space_group_name_H-M 'C 1 2/m 1'
_symmetry_Int_Tables_number 12
_cell_length_a 16.735
_cell_length_b 6.750
_cell_length_c 6.800
_cell_angle_alpha 90.00
_cell_angle_beta 99.87
_cell_angle_gamma 90.00
loop_
_symmetry_equiv_pos_as_xyz
'x,y,z'
'-x,-y,-z'
'-x,y,-z'
'x,-y,z'
'x+1/2,y+1/2,z'
'-x+1/2,-y+1/2,-z'
'-x+1/2,y+1/2,-z'
'x+1/2,-y+1/2,z'
loop_
_atom_site_label
_atom_site_type_symbol
_atom_site_fract_x
_atom_site_fract_y
_atom_site_fract_z
La1 La 0.199 0.000 0.298
Pm1 Pm 0.086 0.500 0.405
Pm2 Pm 0.244 0.000 0.804
Dy1 Dy 0.000 0.000 0.500
Dy2 Dy 0.088 0.260 0.905
```

=====

LaPm2Dy | PBE | optimized geometry

The structure in CIF format:
```
data_LaPm2Dy
_chemical_formula_sum 'La1 Pm2 Dy1'
_symmetry_space_group_name_H-M 'P 4/m m m'
_symmetry_Int_Tables_number 123
_symmetry_space_group_name_Hall '-P 4 2'
_cell_length_a 4.301
_cell_length_b 4.301
_cell_length_c 7.451
_cell_angle_alpha 90.00
_cell_angle_beta 90.00
_cell_angle_gamma 90.00
loop_
_atom_site_label
_atom_site_type_symbol
_atom_site_fract_x
_atom_site_fract_y
_atom_site_fract_z
La1 La 0.000 0.000 0.000
Pm1 Pm 0.500 0.500 0.260
Dy1 Dy 0.000 0.000 0.500
```

=====

La4PmDy | PBE | optimized geometry

The structure in CIF format:
```
data_La4PmDy
_chemical_formula_sum 'La8 Pm2 Dy2'
_symmetry_space_group_name_H-M 'C m m m'
_symmetry_Int_Tables_number 65
_symmetry_space_group_name_Hall '-C 2 2'
_cell_length_a 6.144
_cell_length_b 11.367
_cell_length_c 6.134
_cell_angle_alpha 90.00
_cell_angle_beta 90.00
_cell_angle_gamma 90.00
loop_
_atom_site_label
_atom_site_type_symbol
_atom_site_fract_x
_atom_site_fract_y
_atom_site_fract_z
La1 La 0.000 0.158 0.000
La2 La 0.000 0.342 0.500
Pm1 Pm 0.000 0.000 0.500
Dy1 Dy 0.000 0.500 0.000
```

=====

La15PmDy4 | PBE | optimized geometry

The structure in CIF format:
```
data_La15PmDy4
_chemical_formula_sum 'La15 Pm1 Dy4'
_symmetry_space_group_name_H-M 'P 4/m m m'
_symmetry_Int_Tables_number 123
_symmetry_space_group_name_Hall '-P 4 2'
_cell_length_a 5.214
_cell_length_b 5.214
_cell_length_c 26.102
_cell_angle_alpha 90.00
_cell_angle_beta 90.00
_cell_angle_gamma 90.00
loop_
_atom_site_label
_atom_site_type_symbol
_atom_site_fract_x
_atom_site_fract_y
_atom_site_fract_z
La1 La 0.000 0.000 0.000
La2 La 0.000 0.000 0.201
La3 La 0.000 0.000 0.400
La4 La 0.000 0.500 0.101
La5 La 0.000 0.500 0.300
La6 La 0.000 0.500 0.500
Pm1 Pm 0.500 0.500 0.000
Dy1 Dy 0.500 0.500 0.201
Dy2 Dy 0.500 0.500 0.400
```

=====

LaPm2Dy | PBE | optimized geometry

The structure in CIF format:
```
data_LaPm2Dy
_chemical_formula_sum 'La2 Pm4 Dy2'
_symmetry_space_group_name_H-M 'I m m m'
_symmetry_Int_Tables_number 71
_symmetry_space_group_name_Hall '-I 2 2'
_cell_length_a 5.149
_cell_length_b 5.160
_cell_length_c 10.379
_cell_angle_alpha 90.00
_cell_angle_beta 90.00
_cell_angle_gamma 90.00
loop_
_atom_site_label
_atom_site_type_symbol
_atom_site_fract_x
_atom_site_fract_y
_atom_site_fract_z
La1 La 0.000 0.000 0.000
Pm1 Pm 0.000 0.500 0.250
Dy1 Dy 0.000 0.000 0.500
```

=====

La5Pm2Dy6 | PBE | optimized geometry

The structure in CIF format:
```
data_La5Pm2Dy6
_chemical_formula_sum 'La10 Pm4 Dy12'
_symmetry_space_group_name_H-M 'P b a m'
_symmetry_Int_Tables_number 55
_cell_length_a 11.758
_cell_length_b 21.015
_cell_length_c 3.641
_cell_angle_alpha 90.00
_cell_angle_beta 90.00
_cell_angle_gamma 90.00
loop_
_symmetry_equiv_pos_as_xyz
'x,y,z'
'-x,-y,-z'
'-x,-y,z'
'x,y,-z'
'x+1/2,-y+1/2,-z'
'-x+1/2,y+1/2,z'
'-x+1/2,y+1/2,-z'
'x+1/2,-y+1/2,z'
loop_
_atom_site_label
_atom_site_type_symbol
_atom_site_fract_x
_atom_site_fract_y
_atom_site_fract_z
La1 La 0.000 0.000 0.000
La2 La 0.060 0.288 0.000
La3 La 0.196 0.567 0.000
Pm1 Pm 0.197 0.729 0.500
Dy1 Dy 0.062 0.141 0.500
Dy2 Dy 0.074 0.432 0.500
Dy3 Dy 0.190 0.874 0.000
```

=====

La3Pm7Dy | PBE | optimized geometry

The structure in CIF format:
```
data_La3Pm7Dy
_chemical_formula_sum 'La6 Pm14 Dy2'
_symmetry_space_group_name_H-M 'C 1 2/m 1'
_symmetry_Int_Tables_number 12
_cell_length_a 11.862
_cell_length_b 10.295
_cell_length_c 6.535
_cell_angle_alpha 90.00
_cell_angle_beta 94.25
_cell_angle_gamma 90.00
loop_
_symmetry_equiv_pos_as_xyz
'x,y,z'
'-x,-y,-z'
'-x,y,-z'
'x,-y,z'
'x+1/2,y+1/2,z'
'-x+1/2,-y+1/2,-z'
'-x+1/2,y+1/2,-z'
'x+1/2,-y+1/2,z'
loop_
_atom_site_label
_atom_site_type_symbol
_atom_site_fract_x
_atom_site_fract_y
_atom_site_fract_z
La1 La 0.000 0.000 0.000
La2 La 0.000 0.175 0.500
Pm1 Pm 0.000 0.500 0.500
Pm2 Pm 0.240 0.000 0.713
Pm3 Pm 0.240 0.329 0.762
Dy1 Dy 0.000 0.500 0.000
```

=====

So what do the calculations give for calculated formation energy? Going down the list: 75, 23, 19, 155, 46, 56, 18, 10, 114, 230 kJ/mol of formula units.